Entry from Alexandria: a relaxed structure of TmPuThSn (GGA-PBE).

Cell lengths 5.357, 5.357, 5.357 Å; angles 60.00, 60.00, 60.00 degrees
Site moments in Bohr magnetons follow the coordinates.
Sites, in units of the cell vectors:
Tm (0.750, 0.750, 0.750)  0.23
Th (0.500, 0.500, 0.500)  0.56
Pu (0.250, 0.250, 0.250)  5.51
Sn (0.000, 0.000, 0.000)  -0.02

Values from the calculation:
Total DFT energy (no corrections), eV/atom: -7.63
ΔE_f, eV per atom: -0.08